1.
Compound: Th2ZrRh
Source: Alexandria via LeMat-Bulk
Functional: PBE
Structure: optimized geometry

Cell: 3.6239 3.6239 7.8001 Å, 90.00 90.00 90.00°
Space group P4/mmm (No. 123)
Inequivalent atoms, fractional coordinates:
Th 0.0000 0.0000 0.2160
Zr 0.5000 0.5000 0.5000
Rh 0.5000 0.5000 0.0000

energy	-0.585	Ry/atom
Fermi-level density of states	1.193	states/eV/atom
E_form	-0.28	eV per atom
crystal system	tetragonal

2.
Compound: ThZrRh
Source: Alexandria via LeMat-Bulk
Functional: PBE
Structure: optimized geometry

Cell: 3.4667 3.4667 11.4407 Å, 90.00 90.00 90.00°
Space group I4mm (No. 107)
Inequivalent atoms, fractional coordinates:
Th 0.0000 0.0000 0.0000
Zr 0.0000 0.0000 0.2920
Rh 0.0000 0.0000 0.6650

energy	-0.602	Ry/atom
Fermi-level density of states	1.327	states/eV/atom
E_form	-0.42	eV per atom
crystal system	tetragonal

3.
Compound: Ti7Rh
Source: Alexandria via LeMat-Bulk
Functional: PBE
Structure: optimized geometry

Cell: 3.0951 4.5351 18.8857 Å, 90.00 90.00 90.00°
Space group Immm (No. 71)
Inequivalent atoms, fractional coordinates:
Ti 0.0000 0.0000 0.0000
Ti 0.0000 0.0000 0.2636
Ti 0.0000 0.5000 0.1118
Ti 0.0000 0.5000 0.3693
Rh 0.0000 0.0000 0.5000

energy	-0.590	Ry/atom
Fermi-level density of states	1.521	states/eV/atom
E_form	-0.20	eV per atom
crystal system	orthorhombic

4.
Compound: TiRh
Source: Alexandria via LeMat-Bulk
Functional: PBE
Structure: optimized geometry

Cell: 7.5784 7.5784 4.7235 Å, 90.00 90.00 90.00°
Space group P4/mcc (No. 124)
Inequivalent atoms, fractional coordinates:
Ti 0.0881 0.3022 0.0000
Rh 0.2396 0.4034 0.5000

energy	-0.583	Ry/atom
Fermi-level density of states	0.658	states/eV/atom
E_form	-0.31	eV per atom
crystal system	tetragonal

5.
Compound: TiRh
Source: Alexandria via LeMat-Bulk
Functional: PBE
Structure: optimized geometry

Cell: 8.3785 8.3785 4.0557 Å, 90.00 90.00 120.00°
Space group P6_3/mmc (No. 194)
Inequivalent atoms, fractional coordinates:
Ti 0.2196 0.4392 0.2500
Rh 0.1206 0.5603 0.7500

energy	-0.579	Ry/atom
Fermi-level density of states	0.721	states/eV/atom
E_form	-0.26	eV per atom
crystal system	hexagonal

6.
Compound: Ti2Rh5
Source: Alexandria via LeMat-Bulk
Functional: PBE
Structure: optimized geometry

Cell: 6.2041 12.1345 5.5355 Å, 90.00 90.00 90.00°
Space group Ibam (No. 72)
Inequivalent atoms, fractional coordinates:
Ti 0.2196 0.1217 0.0000
Rh 0.0000 0.2729 0.2500
Rh 0.0000 0.5000 0.2500
Rh 0.1742 0.0941 0.5000

energy	-0.589	Ry/atom
Fermi-level density of states	0.988	states/eV/atom
E_form	-0.50	eV per atom
crystal system	orthorhombic

7.
Compound: Ti5Rh
Source: Alexandria via LeMat-Bulk
Functional: PBE
Structure: optimized geometry

Cell: 3.0496 3.0496 10.5723 Å, 90.00 90.00 90.00°
Space group P4/mmm (No. 123)
Inequivalent atoms, fractional coordinates:
Ti 0.0000 0.0000 0.0000
Ti 0.0000 0.0000 0.3489
Ti 0.5000 0.5000 0.1798
Rh 0.5000 0.5000 0.5000

energy	-0.593	Ry/atom
Fermi-level density of states	1.275	states/eV/atom
E_form	-0.27	eV per atom
crystal system	tetragonal

8.
Compound: TiRh
Source: Alexandria via LeMat-Bulk
Functional: PBE
Structure: optimized geometry

Cell: 7.5232 7.5232 7.5232 Å, 90.00 90.00 90.00°
Space group I-43m (No. 217)
Inequivalent atoms, fractional coordinates:
Ti 0.1906 0.1906 0.1906
Rh 0.1333 0.1333 0.8667

energy	-0.522	Ry/atom
Fermi-level density of states	1.439	states/eV/atom
E_form	0.51	eV per atom
crystal system	cubic

- What is the energy in the fourth record?
  -0.583 Ry/atom

- energy of number 1 (Th2ZrRh)?
  -0.585 Ry/atom